[1]
Compound: K3Tl2I5
Source: Alexandria
Functional: PBE
Structure: optimized geometry

```
data_K3Tl2I5
_chemical_formula_sum 'K6 Tl4 I10'
_cell_length_a 19.294
_cell_length_b 5.122
_cell_length_c 13.556
_cell_angle_alpha 90.00
_cell_angle_beta 129.39
_cell_angle_gamma 90.00
_space_group_name_H-M_alt 'C 1 2/m 1'
_space_group_IT_number 12
loop_
_space_group_symop_operation_xyz
'x,y,z'
'-x,-y,-z'
'-x,y,-z'
'x,-y,z'
'x+1/2,y+1/2,z'
'-x+1/2,-y+1/2,-z'
'-x+1/2,y+1/2,-z'
'x+1/2,-y+1/2,z'
loop_
_atom_site_label
_atom_site_type_symbol
_atom_site_fract_x
_atom_site_fract_y
_atom_site_fract_z
K1 K 0.000 0.000 0.000
K2 K 0.233 0.000 0.661
Tl1 Tl 0.004 0.500 0.703
I1 I 0.000 0.000 0.500
I2 I 0.133 0.500 0.012
I3 I 0.139 0.000 0.334
```

Properties
Formation energy without anion corrections = -1081.3 meV per atom
Crystal system = monoclinic

---

[2]
Compound: DyYLuTl
Source: Alexandria
Functional: PBE
Structure: optimized geometry

```
data_DyYLuTl
_chemical_formula_sum 'Dy4 Y4 Lu4 Tl4'
_cell_length_a 7.694
_cell_length_b 7.694
_cell_length_c 7.694
_cell_angle_alpha 90.00
_cell_angle_beta 90.00
_cell_angle_gamma 90.00
_space_group_name_H-M_alt 'F -4 3 m'
_space_group_IT_number 216
_space_group_name_Hall 'F -4 2 3'
loop_
_atom_site_label
_atom_site_type_symbol
_atom_site_fract_x
_atom_site_fract_y
_atom_site_fract_z
Dy1 Dy 0.000 0.000 0.000
Y1 Y 0.000 0.000 0.500
Lu1 Lu 0.250 0.250 0.250
Tl1 Tl 0.250 0.250 0.750
```

Properties
E_form = -47 meV/atom
Crystal system = cubic

---

[3]
Compound: ZnInTe2O8
Source: Alexandria
Functional: PBE
Structure: optimized geometry

```
data_ZnInTe2O8
_chemical_formula_sum 'Zn2 In2 Te4 O16'
_cell_length_a 7.020
_cell_length_b 7.020
_cell_length_c 6.789
_cell_angle_alpha 90.00
_cell_angle_beta 90.00
_cell_angle_gamma 90.00
_space_group_name_H-M_alt 'I -4 m 2'
_space_group_IT_number 119
_space_group_name_Hall 'I -4 -2'
loop_
_atom_site_label
_atom_site_type_symbol
_atom_site_fract_x
_atom_site_fract_y
_atom_site_fract_z
Zn1 Zn 0.000 0.000 0.000
In1 In 0.000 0.500 0.750
Te1 Te 0.000 0.000 0.500
Te2 Te 0.000 0.500 0.250
O1 O 0.000 0.193 0.694
O2 O 0.000 0.305 0.059
```

Properties
Formation energy without anion corrections = -878.2 meV per atom
Crystal system = tetragonal

---

[4]
Compound: TeW2Cl
Source: Alexandria
Functional: PBE
Structure: optimized geometry

```
data_TeW2Cl
_chemical_formula_sum 'Te4 W8 Cl4'
_cell_length_a 4.467
_cell_length_b 4.467
_cell_length_c 16.318
_cell_angle_alpha 90.00
_cell_angle_beta 90.00
_cell_angle_gamma 90.00
_space_group_name_H-M_alt 'I -4 2 d'
_space_group_IT_number 122
_space_group_name_Hall 'I -4 2bw'
loop_
_atom_site_label
_atom_site_type_symbol
_atom_site_fract_x
_atom_site_fract_y
_atom_site_fract_z
Te1 Te 0.000 0.000 0.000
W1 W 0.172 0.250 0.625
Cl1 Cl 0.000 0.000 0.500
```

Properties
Formation energy without anion corrections = 853.1 meV per atom
Excess energy over the best structure of this formula in the dataset = 0.767 eV per atom
Crystal system = tetragonal